This record from the Alexandria database describes a relaxed PmCo4O8 crystal. The functional is GGA+U.

Values from the calculation:
Calculated total energy = -6.0209 eV/atom

a b c (Å): 5.6186 5.6186 11.8621
angles (deg): 90.00 90.00 120.00
Positions (direct):
Pm: 0.0000 0.0000 0.0000
Pm: 0.0000 0.0000 0.5000
Co: 0.0000 0.0000 0.2500
Co: 0.0000 0.0000 0.7500
Co: 0.0061 0.5030 0.2500
Co: 0.4970 0.5030 0.2500
Co: 0.4970 0.9939 0.2500
Co: 0.5030 0.0061 0.7500
Co: 0.5030 0.4970 0.7500
Co: 0.9939 0.4970 0.7500
O: 0.1644 0.3288 0.6490
O: 0.1644 0.3288 0.8510
O: 0.1644 0.8356 0.6490
O: 0.1644 0.8356 0.8510
O: 0.3288 0.1644 0.1490
O: 0.3288 0.1644 0.3510
O: 0.3333 0.6667 0.1512
O: 0.3333 0.6667 0.3488
O: 0.6667 0.3333 0.6512
O: 0.6667 0.3333 0.8488
O: 0.6712 0.8356 0.6490
O: 0.6712 0.8356 0.8510
O: 0.8356 0.1644 0.1490
O: 0.8356 0.1644 0.3510
O: 0.8356 0.6712 0.1490
O: 0.8356 0.6712 0.3510